Record 1
A relaxed Tl4Te crystal, computed with PBE-GGA.

```
data_Tl4Te
_cell_length_a 6.5623
_cell_length_b 6.5623
_cell_length_c 6.5623
_cell_angle_alpha 109.47
_cell_angle_beta 109.47
_cell_angle_gamma 109.47
_symmetry_space_group_name_H-M 'P 1'
_symmetry_Int_Tables_number 1
loop_
_symmetry_equiv_pos_as_xyz
'x,y,z'
loop_
_atom_site_label
_atom_site_fract_x
_atom_site_fract_y
_atom_site_fract_z
_atom_site_occupancy
Tl1 0.0000 0.0000 0.5000 1
Tl2 0.0000 0.5000 0.0000 1
Tl3 0.5000 0.0000 0.0000 1
Tl4 0.5000 0.5000 0.5000 1
Te1 0.0000 0.0000 0.0000 1
```

Output
distance to the lowest polymorph of the same formula	218	meV/atom
space-group type	Im-3m, No. 229
electronic total energy	-2.44	eV per atom
ΔE_f (raw)	80	meV/atom

***

Record 2
A relaxed TlTe crystal, computed with PBE-GGA.

```
data_TlTe
_cell_length_a 5.4960
_cell_length_b 5.4960
_cell_length_c 6.3572
_cell_angle_alpha 90.02
_cell_angle_beta 90.02
_cell_angle_gamma 58.20
_symmetry_space_group_name_H-M 'P 1'
_symmetry_Int_Tables_number 1
loop_
_symmetry_equiv_pos_as_xyz
'x,y,z'
loop_
_atom_site_label
_atom_site_fract_x
_atom_site_fract_y
_atom_site_fract_z
_atom_site_occupancy
Tl1 0.1640 0.1640 0.2479 1
Tl2 0.8360 0.8360 0.7521 1
Te1 0.1638 0.1638 0.7484 1
Te2 0.8362 0.8362 0.2516 1
```

Output
space-group type	C2/m, No. 12
electronic total energy	-2.88	eV per atom
ΔE_f (raw)	-127	meV/atom

***

Record 3
A relaxed TlTe crystal, computed with PBE-GGA.

```
data_TlTe
_cell_length_a 7.2469
_cell_length_b 10.9718
_cell_length_c 7.3690
_cell_angle_alpha 90.00
_cell_angle_beta 90.00
_cell_angle_gamma 90.00
_symmetry_space_group_name_H-M 'P 1'
_symmetry_Int_Tables_number 1
loop_
_symmetry_equiv_pos_as_xyz
'x,y,z'
loop_
_atom_site_label
_atom_site_fract_x
_atom_site_fract_y
_atom_site_fract_z
_atom_site_occupancy
Tl1 0.2489 0.0707 0.0010 1
Tl2 0.2489 0.4293 0.0010 1
Tl3 0.2511 0.5707 0.5010 1
Tl4 0.2511 0.9293 0.5010 1
Tl5 0.7489 0.0707 0.4990 1
Tl6 0.7489 0.4293 0.4990 1
Tl7 0.7511 0.5707 0.9990 1
Tl8 0.7511 0.9293 0.9990 1
Te1 0.1114 0.2500 0.6364 1
Te2 0.1161 0.7500 0.8648 1
Te3 0.3839 0.2500 0.3648 1
Te4 0.3886 0.7500 0.1364 1
Te5 0.6114 0.2500 0.8636 1
Te6 0.6161 0.7500 0.6352 1
Te7 0.8839 0.2500 0.1352 1
Te8 0.8886 0.7500 0.3636 1
```

Output
space-group type	Pnma, No. 62
electronic total energy	-2.97	eV per atom
ΔE_f (raw)	-213	meV/atom

***

Record 4
A relaxed TlTe crystal, computed with PBE-GGA.

```
data_TlTe
_cell_length_a 5.0798
_cell_length_b 5.0798
_cell_length_c 5.0798
_cell_angle_alpha 60.00
_cell_angle_beta 60.00
_cell_angle_gamma 60.00
_symmetry_space_group_name_H-M 'P 1'
_symmetry_Int_Tables_number 1
loop_
_symmetry_equiv_pos_as_xyz
'x,y,z'
loop_
_atom_site_label
_atom_site_fract_x
_atom_site_fract_y
_atom_site_fract_z
_atom_site_occupancy
Tl1 0.0000 0.0000 0.0000 1
Te1 0.2500 0.2500 0.2500 1
```

Output
space-group type	F-43m, No. 216
electronic total energy	-2.83	eV per atom
ΔE_f (raw)	-78	meV/atom

***

Record 5
A relaxed Tl5Te4 crystal, computed with PBE-GGA.

```
data_Tl5Te4
_cell_length_a 8.2565
_cell_length_b 8.2565
_cell_length_c 11.5015
_cell_angle_alpha 124.11
_cell_angle_beta 124.11
_cell_angle_gamma 31.77
_symmetry_space_group_name_H-M 'P 1'
_symmetry_Int_Tables_number 1
loop_
_symmetry_equiv_pos_as_xyz
'x,y,z'
loop_
_atom_site_label
_atom_site_fract_x
_atom_site_fract_y
_atom_site_fract_z
_atom_site_occupancy
Tl1 0.0000 0.0000 0.0000 1
Tl2 0.2486 0.2486 0.3805 1
Tl3 0.3737 0.3737 0.1907 1
Tl4 0.6263 0.6263 0.8093 1
Tl5 0.7514 0.7514 0.6195 1
Te1 0.0548 0.0548 0.4383 1
Te2 0.3063 0.3063 0.8619 1
Te3 0.6937 0.6937 0.1381 1
Te4 0.9452 0.9452 0.5617 1
```

Output
distance to the lowest polymorph of the same formula	0	meV/atom
space-group type	C2/m, No. 12
electronic total energy	-2.89	eV per atom
ΔE_f (raw)	-182	meV/atom

***

Record 6
A relaxed TlTe crystal, computed with PBE-GGA.

```
data_TlTe
_cell_length_a 4.4621
_cell_length_b 4.4621
_cell_length_c 7.8180
_cell_angle_alpha 90.00
_cell_angle_beta 90.00
_cell_angle_gamma 120.00
_symmetry_space_group_name_H-M 'P 1'
_symmetry_Int_Tables_number 1
loop_
_symmetry_equiv_pos_as_xyz
'x,y,z'
loop_
_atom_site_label
_atom_site_fract_x
_atom_site_fract_y
_atom_site_fract_z
_atom_site_occupancy
Tl1 0.0000 0.0000 0.0000 1
Tl2 0.0000 0.0000 0.5000 1
Te1 0.3333 0.6667 0.2500 1
Te2 0.6667 0.3333 0.7500 1
```

Output
space-group type	P6_3/mmc, No. 194
electronic total energy	-2.91	eV per atom
ΔE_f (raw)	-159	meV/atom

***

Record 7
A relaxed Tl2Te3 crystal, computed with PBE-GGA.

```
data_Tl2Te3
_cell_length_a 6.9621
_cell_length_b 6.9621
_cell_length_c 10.3655
_cell_angle_alpha 116.75
_cell_angle_beta 116.75
_cell_angle_gamma 58.87
_symmetry_space_group_name_H-M 'P 1'
_symmetry_Int_Tables_number 1
loop_
_symmetry_equiv_pos_as_xyz
'x,y,z'
loop_
_atom_site_label
_atom_site_fract_x
_atom_site_fract_y
_atom_site_fract_z
_atom_site_occupancy
Tl1 0.0049 0.9951 0.5000 1
Tl2 0.3469 0.4995 0.2439 1
Tl3 0.4995 0.3469 0.7439 1
Tl4 0.9951 0.0049 0.0000 1
Te1 0.0630 0.3550 0.8554 1
Te2 0.3550 0.0630 0.3554 1
Te3 0.4943 0.9596 0.9735 1
Te4 0.6348 0.7188 0.7004 1
Te5 0.7188 0.6348 0.2004 1
Te6 0.9596 0.4943 0.4735 1
```

Output
distance to the lowest polymorph of the same formula	24	meV/atom
space-group type	Cc, No. 9
electronic total energy	-3.00	eV per atom
ΔE_f (raw)	-167	meV/atom

***

Record 8
A relaxed TlTe crystal, computed with PBE-GGA.

```
data_TlTe
_cell_length_a 7.1439
_cell_length_b 7.1439
_cell_length_c 7.1439
_cell_angle_alpha 105.57
_cell_angle_beta 105.57
_cell_angle_gamma 117.59
_symmetry_space_group_name_H-M 'P 1'
_symmetry_Int_Tables_number 1
loop_
_symmetry_equiv_pos_as_xyz
'x,y,z'
loop_
_atom_site_label
_atom_site_fract_x
_atom_site_fract_y
_atom_site_fract_z
_atom_site_occupancy
Tl1 0.2500 0.2500 0.0000 1
Tl2 0.2500 0.7500 0.5000 1
Tl3 0.7500 0.2500 0.5000 1
Tl4 0.7500 0.7500 0.0000 1
Te1 0.1875 0.6875 0.8750 1
Te2 0.3125 0.1875 0.5000 1
Te3 0.6875 0.8125 0.5000 1
Te4 0.8125 0.3125 0.1250 1
```

Output
space-group type	I4/mcm, No. 140
electronic total energy	-2.94	eV per atom
ΔE_f (raw)	-189	meV/atom

***

Record 9
A relaxed TlTe crystal, computed with PBE-GGA.

```
data_TlTe
_cell_length_a 5.6608
_cell_length_b 5.6608
_cell_length_c 5.6608
_cell_angle_alpha 60.00
_cell_angle_beta 60.00
_cell_angle_gamma 60.00
_symmetry_space_group_name_H-M 'P 1'
_symmetry_Int_Tables_number 1
loop_
_symmetry_equiv_pos_as_xyz
'x,y,z'
loop_
_atom_site_label
_atom_site_fract_x
_atom_site_fract_y
_atom_site_fract_z
_atom_site_occupancy
Tl1 0.1250 0.1250 0.1250 1
Tl2 0.8750 0.8750 0.8750 1
Te1 0.3750 0.3750 0.3750 1
Te2 0.6250 0.6250 0.6250 1
```

Output
space-group type	Fd-3m, No. 227
electronic total energy	-2.75	eV per atom
ΔE_f (raw)	2	meV/atom

***

Record 10
A relaxed TmTlTe crystal, computed with PBE-GGA.

```
data_TmTlTe
_cell_length_a 4.8300
_cell_length_b 4.8300
_cell_length_c 8.7306
_cell_angle_alpha 90.00
_cell_angle_beta 90.00
_cell_angle_gamma 90.00
_symmetry_space_group_name_H-M 'P 1'
_symmetry_Int_Tables_number 1
loop_
_symmetry_equiv_pos_as_xyz
'x,y,z'
loop_
_atom_site_label
_atom_site_fract_x
_atom_site_fract_y
_atom_site_fract_z
_atom_site_occupancy
Tm1 0.2500 0.7500 0.0000 1
Tm2 0.7500 0.2500 0.0000 1
Tl1 0.2500 0.2500 0.3404 1
Tl2 0.7500 0.7500 0.6596 1
Te1 0.2500 0.2500 0.7884 1
Te2 0.7500 0.7500 0.2116 1
```

Output
space-group type	P4/nmm, No. 129
electronic total energy	-3.83	eV per atom
ΔE_f (raw)	-508	meV/atom

***

Record 11
A relaxed Tm4TlTe crystal, computed with PBE-GGA.

```
data_Tm4TlTe
_cell_length_a 6.0914
_cell_length_b 6.4446
_cell_length_c 8.4882
_cell_angle_alpha 90.00
_cell_angle_beta 92.46
_cell_angle_gamma 90.00
_symmetry_space_group_name_H-M 'P 1'
_symmetry_Int_Tables_number 1
loop_
_symmetry_equiv_pos_as_xyz
'x,y,z'
loop_
_atom_site_label
_atom_site_fract_x
_atom_site_fract_y
_atom_site_fract_z
_atom_site_occupancy
Tm1 0.1259 0.2500 0.3440 1
Tm2 0.1540 0.7500 0.0391 1
Tm3 0.3584 0.0016 0.6935 1
Tm4 0.3584 0.4984 0.6935 1
Tm5 0.6416 0.5016 0.3065 1
Tm6 0.6416 0.9984 0.3065 1
Tm7 0.8460 0.2500 0.9609 1
Tm8 0.8741 0.7500 0.6560 1
Tl1 0.1917 0.7500 0.3894 1
Tl2 0.8083 0.2500 0.6106 1
Te1 0.3420 0.2500 0.0261 1
Te2 0.6580 0.7500 0.9739 1
```

Output
distance to the lowest polymorph of the same formula	0	meV/atom
space-group type	P2_1/m, No. 11
electronic total energy	-4.39	eV per atom
ΔE_f (raw)	-489	meV/atom

***

Record 12
A relaxed Tm8Tl2Te crystal, computed with PBE-GGA.

```
data_Tm8Tl2Te
_cell_length_a 9.3273
_cell_length_b 9.3273
_cell_length_c 6.7184
_cell_angle_alpha 93.39
_cell_angle_beta 93.39
_cell_angle_gamma 32.25
_symmetry_space_group_name_H-M 'P 1'
_symmetry_Int_Tables_number 1
loop_
_symmetry_equiv_pos_as_xyz
'x,y,z'
loop_
_atom_site_label
_atom_site_fract_x
_atom_site_fract_y
_atom_site_fract_z
_atom_site_occupancy
Tm1 0.0336 0.0336 0.2470 1
Tm2 0.2115 0.2115 0.1133 1
Tm3 0.3324 0.3324 0.5869 1
Tm4 0.4077 0.4077 0.0711 1
Tm5 0.5923 0.5923 0.9289 1
Tm6 0.6676 0.6676 0.4131 1
Tm7 0.7885 0.7885 0.8867 1
Tm8 0.9664 0.9664 0.7530 1
Tl1 0.1615 0.1615 0.6697 1
Tl2 0.8385 0.8385 0.3303 1
Te1 0.5000 0.5000 0.5000 1
```

Output
space-group type	C2/m, No. 12
electronic total energy	-4.29	eV per atom
ΔE_f (raw)	-327	meV/atom

***

Total moment per entry: 0.00; 0.00; 0.00; 0.00; 0.00; 0.00; 0.00; 0.00; 0.00; 0.00; 0.00; 0.00 μB/f.u.